VASP calculation (PBEsol) on ZrCuPt after structural relaxation.

Lattice parameters (Å, degrees): 6.0999 6.0999 6.0999 90.00 90.00 90.00
With the nearest neighbours (Å) after each atom.
Space group F-43m (No. 216)
Unique sites:
Zr  0.0000  0.0000  0.0000 x4  4 Pt 2.64
Cu  0.0000  0.0000  0.5000 x4  4 Pt 2.64
Pt  0.2500  0.2500  0.2500 x4  4 Zr 2.64, 4 Cu 2.64

Properties
N(E_F) = 9.0 states/eV/cell
Energy above the most stable polymorph in this dataset = 1.00 eV/f.u.
Mass density = 10.24 g/cm³